Entry 1:
{"formula": "BePtRhCl2", "functional": "PBE", "state": "relaxed", "lattice_angstrom": [[-0.9013, -3.4647, 3.0807], [0.5093, -2.8727, -3.0817], [4.6015, -0.2848, 1.0259]], "species": ["Be", "Pt", "Rh", "Cl", "Cl"], "frac_coords": [[0.0000, 0.5000, 0.0000], [0.5000, 0.5000, 0.5000], [0.0000, 0.0000, 0.0000], [0.5000, 0.0000, 0.0000], [0.0000, 0.0000, 0.5000]], "e_form_raw_kj_per_mol_fu": 380}

Entry 2:
{"formula": "La4CdAg2", "functional": "PBE", "state": "relaxed", "lattice_angstrom": [[0.4735, -5.3247, 0.7309], [1.7791, -3.1273, -4.0207], [8.8417, -1.7233, 1.6325]], "species": ["La", "La", "Cd", "La", "Ag", "Ag", "La"], "frac_coords": [[0.3839, 0.3839, 0.8483], [0.8692, 0.8692, 0.3923], [0.0000, 0.0000, 0.0000], [0.6161, 0.6161, 0.1517], [0.2570, 0.2570, 0.2291], [0.7430, 0.7430, 0.7709], [0.1308, 0.1308, 0.6077]], "ef_kj_per_mol_atoms": -14.05, "de_polymorph_ev_per_atom": 0.000}

Entry 3:
{"formula": "Pu3NpTl3Se8", "functional": "PBE", "state": "relaxed", "lattice_angstrom": [[8.4115, 0.0000, 0.0000], [-4.2057, 7.2850, -0.0300], [0.0000, -4.8277, 7.7592]], "species": ["Tl", "Tl", "Np", "Se", "Se", "Se", "Se", "Se", "Se", "Se", "Se", "Tl", "Pu", "Pu", "Pu"], "frac_coords": [[0.0000, 0.0000, 0.0000], [0.5000, 0.5000, 0.0000], [0.0000, 0.0000, 0.5000], [0.2620, 0.0312, 0.3007], [0.7380, 0.9688, 0.6993], [0.7693, 0.0312, 0.3007], [0.2308, 0.4615, 0.6994], [0.7692, 0.5385, 0.3006], [0.2307, 0.9688, 0.6993], [0.2658, 0.5316, 0.2975], [0.7342, 0.4684, 0.7025], [0.0000, 0.5000, 0.0000], [0.5000, 0.5000, 0.5000], [0.0000, 0.5000, 0.5000], [0.5000, 0.0000, 0.5000]], "e_form_raw_kj_per_mol_fu": -1617}

Entry 4:
{"formula": "CaMgPd", "functional": "PBE", "state": "relaxed", "lattice_angstrom": [[-2.9402, 3.6913, -0.9950], [-3.5203, -3.5520, -2.7759], [-1.7660, -0.0318, 5.1012]], "species": ["Pd", "Ca", "Mg", "Ca", "Pd", "Mg"], "frac_coords": [[0.2522, 0.8860, 0.6095], [0.7525, 0.5965, 0.2864], [0.2520, 0.0163, 0.1564], [0.2525, 0.4110, 0.7173], [0.7522, 0.1213, 0.3935], [0.7520, 0.9922, 0.8466]], "ef_kj_per_mol_atoms": -52.55}

Entry 5:
{"formula": "Ac2Mg3", "functional": "PBE", "state": "relaxed", "lattice_angstrom": [[-2.2765, -0.6578, -2.8595], [-2.8298, -3.5014, 3.0583], [-8.5356, 12.4405, 6.3449]], "species": ["Mg", "Ac", "Mg", "Mg", "Ac", "Ac", "Ac", "Mg", "Mg", "Mg"], "frac_coords": [[0.8295, 0.2500, 0.6590], [0.4270, 0.2500, 0.8541], [0.8799, 0.7500, 0.7597], [0.1201, 0.2500, 0.2403], [0.7150, 0.2500, 0.4300], [0.5730, 0.7500, 0.1459], [0.2850, 0.7500, 0.5700], [0.1705, 0.7500, 0.3410], [0.0241, 0.2500, 0.0481], [0.9759, 0.7500, 0.9519]], "ef_kj_per_mol_atoms": -5.31, "de_polymorph_ev_per_atom": 0.000}

Entry 6:
{"formula": "Nd6CuOs2Cl3", "functional": "PBE", "state": "relaxed", "lattice_angstrom": [[-1.2136, -3.4133, -6.1173], [6.5183, 2.4118, 1.4965], [-0.0882, -6.2869, 4.8995]], "species": ["Os", "Nd", "Nd", "Nd", "Cl", "Nd", "Cl", "Nd", "Cu", "Os", "Nd", "Cl"], "frac_coords": [[0.3336, 0.6664, 0.0000], [0.2792, 0.2792, 0.7928], [0.7208, 0.7208, 0.2072], [0.0690, 0.4170, 0.2071], [0.8284, 0.1716, 0.5000], [0.9310, 0.5830, 0.7929], [0.1716, 0.8284, 0.5000], [0.4170, 0.0690, 0.2071], [0.0000, 0.0000, 0.0000], [0.6664, 0.3336, 0.0000], [0.5830, 0.9310, 0.7929], [0.5000, 0.5000, 0.5000]], "e_form_raw_kj_per_mol_fu": -952}

Entry 7:
{"formula": "CaZn2Pd", "functional": "PBE", "state": "relaxed", "lattice_angstrom": [[-1.7801, -0.5576, 4.2989], [-1.0349, 3.7505, 2.6121], [-4.4752, 1.1048, 0.8443]], "species": ["Zn", "Ca", "Pd", "Zn"], "frac_coords": [[0.2500, 0.2500, 0.2500], [0.0000, 0.0000, 0.0000], [0.5000, 0.5000, 0.5000], [0.7500, 0.7500, 0.7500]], "ef_kj_per_mol_atoms": -34.20}

Entry 8:
{"formula": "Y3ThTl4Te8", "functional": "PBE", "state": "relaxed", "lattice_angstrom": [[-2.5080, 4.4999, 7.2234], [-9.2450, -2.6024, -1.5887], [5.9785, -6.5205, 0.6890]], "species": ["Te", "Te", "Tl", "Y", "Te", "Te", "Te", "Y", "Th", "Tl", "Tl", "Y", "Te", "Te", "Tl", "Te"], "frac_coords": [[0.7590, 0.2820, 0.0228], [0.7590, 0.2820, 0.5180], [0.0000, 0.0000, 0.0000], [0.0000, 0.5000, 0.5000], [0.2638, 0.2820, 0.0228], [0.2410, 0.7180, 0.4820], [0.7362, 0.7180, 0.9772], [0.5000, 0.5000, 0.0000], [0.0000, 0.5000, 0.0000], [0.5000, 0.0000, 0.0000], [0.5000, 0.0000, 0.5000], [0.5000, 0.5000, 0.5000], [0.2619, 0.2858, 0.5237], [0.7381, 0.7142, 0.4763], [0.0000, 0.0000, 0.5000], [0.2410, 0.7180, 0.9772]], "e_form_raw_kj_per_mol_fu": -1548}

Entry 9:
{"formula": "Dy2Ge2HRu2", "functional": "PBE", "state": "relaxed", "lattice_angstrom": [[4.1268, 0.0000, 0.0000], [0.0000, 4.1268, 0.0000], [-2.0634, -2.0634, 6.9851]], "species": ["Ru", "Dy", "Ge", "H", "Ru", "Dy", "Ge"], "frac_coords": [[0.5000, 0.0000, 0.0000], [0.1593, 0.1593, 0.3186], [0.3868, 0.3868, 0.7735], [0.0000, 0.0000, 0.0000], [0.0000, 0.5000, 0.0000], [0.8407, 0.8407, 0.6814], [0.6132, 0.6132, 0.2265]]}

Entry 10:
{"formula": "Rb8Au6O", "functional": "PBE", "state": "relaxed", "lattice_angstrom": [[8.4075, -0.0414, 2.5110], [1.8591, 8.1995, 2.5110], [-0.0521, -0.0414, 8.7743]], "species": ["Rb", "Au", "Au", "Rb", "Rb", "Au", "Rb", "Au", "Au", "O", "Au", "Rb", "Rb", "Rb", "Rb"], "frac_coords": [[0.3592, 0.3592, 0.3592], [0.3399, 0.9557, 0.5075], [0.5075, 0.3399, 0.9557], [0.0904, 0.8608, 0.2998], [0.6408, 0.6408, 0.6408], [0.0443, 0.4925, 0.6601], [0.7002, 0.9096, 0.1392], [0.6601, 0.0443, 0.4925], [0.9557, 0.5075, 0.3399], [0.0000, 0.0000, 0.0000], [0.4925, 0.6601, 0.0443], [0.9096, 0.1392, 0.7002], [0.1392, 0.7002, 0.9096], [0.2998, 0.0904, 0.8608], [0.8608, 0.2998, 0.0904]], "e_form_raw_kj_per_mol_fu": -599}

Entry 11:
{"formula": "Al3TlSn3", "functional": "PBE", "state": "relaxed", "lattice_angstrom": [[7.6863, 0.0000, 0.0000], [0.0000, 7.6863, 0.0000], [0.0000, 0.0000, 7.6863]], "species": ["Sn", "Sn", "Sn", "Al", "Tl", "Sn", "Sn", "Al", "Al", "Al", "Tl", "Al", "Sn", "Al"], "frac_coords": [[0.0000, 0.5000, 0.7500], [0.0000, 0.5000, 0.2500], [0.7500, 0.0000, 0.5000], [0.0000, 0.2500, 0.5000], [0.5000, 0.5000, 0.5000], [0.5000, 0.2500, 0.0000], [0.5000, 0.7500, 0.0000], [0.5000, 0.0000, 0.2500], [0.2500, 0.5000, 0.0000], [0.7500, 0.5000, 0.0000], [0.0000, 0.0000, 0.0000], [0.5000, 0.0000, 0.7500], [0.2500, 0.0000, 0.5000], [0.0000, 0.7500, 0.5000]], "ef_kj_per_mol_atoms": 27.98}

Entry 12:
{"formula": "Tm2Hg2Pd3", "functional": "PBE", "state": "relaxed", "lattice_angstrom": [[-3.3816, 1.0447, 1.9697], [-3.4624, -5.1513, -3.2122], [3.0929, -3.2296, 2.8582]], "species": ["Tm", "Tm", "Hg", "Hg", "Pd", "Pd", "Pd"], "frac_coords": [[0.4174, 0.2421, 0.8347], [0.5826, 0.7579, 0.1653], [0.1394, 0.4168, 0.2787], [0.8606, 0.5832, 0.7213], [0.7097, 0.1378, 0.4193], [0.0000, 0.0000, 0.0000], [0.2903, 0.8622, 0.5807]], "ef_kj_per_mol_atoms": -68.88, "de_polymorph_ev_per_atom": 0.000}

Calculated final energy, -16.87, -27.35, -107.67, -20.85, -26.55, -70.57, -11.16, -77.45, -45.11, -38.57, -47.15, -30.12 eV per cell (same order as the records).
Calculated theoretical density, 6.6, 6.8, 7.8, 3.9, 5.3, 7.1, 6.3, 6.9, 9.4, 5.1, 4.7, 12.7 g/cm3 (same order as the records).
Calculated size of the total moment, 0.000, 0.215, 1.200, 0.000, 0.000, 0.000, 0.000, 0.000, 0.000, 0.009, 0.000, 0.000 μB/atom (same order as the records).